# 1
# CdSnPd (PBE-GGA, relaxed)
# DFT total energy (eV/cell): -10.8
# DFT formation energy (meV per atom): -242.7
data_CdSnPd
_chemical_formula_sum 'Cd1 Sn1 Pd1'
_cell_length_a 3.664
_cell_length_b 3.664
_cell_length_c 5.187
_cell_angle_alpha 110.68
_cell_angle_beta 110.68
_cell_angle_gamma 90.00
_space_group_name_H-M_alt 'P 1'
_space_group_IT_number 1
_space_group_name_Hall 'P 1'
loop_
_atom_site_label
_atom_site_type_symbol
_atom_site_fract_x
_atom_site_fract_y
_atom_site_fract_z
_atom_site_occupancy
Cd1 Cd 0.288 0.288 0.575 1
Pd1 Pd 0.957 0.957 0.915 1
Sn1 Sn 0.605 0.605 0.210 1

---

# 2
# LiSeF4 (PBE-GGA, relaxed)
# Energy above the most stable polymorph in this dataset (meV per atom): 63
# DFT total energy (eV/cell): -47.8
# Formation energy (no corrections) (eV per formula unit): -11.01
data_LiSeF4
_chemical_formula_sum 'Li2 Se2 F8'
_cell_length_a 5.877
_cell_length_b 5.842
_cell_length_c 6.357
_cell_angle_alpha 90.00
_cell_angle_beta 90.00
_cell_angle_gamma 90.00
_space_group_name_H-M_alt 'P 1'
_space_group_IT_number 1
_space_group_name_Hall 'P 1'
loop_
_atom_site_label
_atom_site_type_symbol
_atom_site_fract_x
_atom_site_fract_y
_atom_site_fract_z
_atom_site_occupancy
F1 F 0.758 0.220 0.500 1
F2 F 0.782 0.748 0.000 1
F3 F 0.242 0.220 0.500 1
F4 F 0.218 0.748 0.000 1
F5 F 0.758 0.780 0.500 1
F6 F 0.242 0.780 0.500 1
F7 F 0.218 0.252 0.000 1
F8 F 0.782 0.252 0.000 1
Se1 Se 0.000 0.000 0.500 1
Se2 Se 0.000 0.500 0.000 1
Li1 Li 0.000 0.000 0.000 1
Li2 Li 0.500 0.000 0.500 1

---

# 3
# ReAgPt (PBE-GGA, relaxed)
# Energy above the most stable polymorph in this dataset (meV per atom): 0
# DFT total energy (eV/cell): -43.0
# DFT formation energy (meV per atom): -46.5
data_ReAgPt
_chemical_formula_sum 'Re2 Ag2 Pt2'
_cell_length_a 2.806
_cell_length_b 2.806
_cell_length_c 12.172
_cell_angle_alpha 90.00
_cell_angle_beta 90.00
_cell_angle_gamma 90.00
_space_group_name_H-M_alt 'P 1'
_space_group_IT_number 1
_space_group_name_Hall 'P 1'
loop_
_atom_site_label
_atom_site_type_symbol
_atom_site_fract_x
_atom_site_fract_y
_atom_site_fract_z
_atom_site_occupancy
Re1 Re 0.000 0.500 0.924 1
Re2 Re 0.500 0.000 0.076 1
Pt1 Pt 0.500 0.000 0.766 1
Pt2 Pt 0.000 0.500 0.234 1
Ag1 Ag 0.000 0.500 0.590 1
Ag2 Ag 0.500 0.000 0.410 1

---

# 4
# CaLaPmGa (PBE-GGA, relaxed)
# DFT total energy (eV/cell): -15.3
# DFT formation energy (meV per atom): -141.5
data_CaLaPmGa
_chemical_formula_sum 'Ca1 La1 Pm1 Ga1'
_cell_length_a 5.521
_cell_length_b 5.521
_cell_length_c 5.521
_cell_angle_alpha 60.00
_cell_angle_beta 60.00
_cell_angle_gamma 60.00
_space_group_name_H-M_alt 'P 1'
_space_group_IT_number 1
_space_group_name_Hall 'P 1'
loop_
_atom_site_label
_atom_site_type_symbol
_atom_site_fract_x
_atom_site_fract_y
_atom_site_fract_z
_atom_site_occupancy
Ga1 Ga 0.250 0.250 0.250 1
Pm1 Pm 0.000 0.000 0.000 1
Ca1 Ca 0.750 0.750 0.750 1
La1 La 0.500 0.500 0.500 1

---

# 5
# SrBe3B (PBE-GGA, relaxed)
# Energy above the most stable polymorph in this dataset (meV per atom): 0
# DFT total energy (eV/cell): -17.0
# DFT formation energy (meV per atom): 514.3
data_SrBe3B
_chemical_formula_sum 'Sr1 Be3 B1'
_cell_length_a 4.014
_cell_length_b 4.014
_cell_length_c 4.014
_cell_angle_alpha 90.00
_cell_angle_beta 90.00
_cell_angle_gamma 90.00
_space_group_name_H-M_alt 'P 1'
_space_group_IT_number 1
_space_group_name_Hall 'P 1'
loop_
_atom_site_label
_atom_site_type_symbol
_atom_site_fract_x
_atom_site_fract_y
_atom_site_fract_z
_atom_site_occupancy
Be1 Be 0.500 0.000 0.000 1
Be2 Be 0.000 0.000 0.500 1
Be3 Be 0.000 0.500 0.000 1
Sr1 Sr 0.500 0.500 0.500 1
B1 B 0.000 0.000 0.000 1

---

# 6
# Co2Cu2Ir (PBE-GGA, relaxed)
# Energy above the most stable polymorph in this dataset (meV per atom): 172
# DFT total energy (eV/cell): -28.5
# DFT formation energy (meV per atom): 547.4
data_Co2Cu2Ir
_chemical_formula_sum 'Co2 Cu2 Ir1'
_cell_length_a 3.281
_cell_length_b 3.281
_cell_length_c 6.509
_cell_angle_alpha 75.40
_cell_angle_beta 75.40
_cell_angle_gamma 90.00
_space_group_name_H-M_alt 'P 1'
_space_group_IT_number 1
_space_group_name_Hall 'P 1'
loop_
_atom_site_label
_atom_site_type_symbol
_atom_site_fract_x
_atom_site_fract_y
_atom_site_fract_z
_atom_site_occupancy
Co1 Co 0.405 0.405 0.190 1
Co2 Co 0.595 0.595 0.810 1
Cu1 Cu 0.250 0.750 0.500 1
Cu2 Cu 0.750 0.250 0.500 1
Ir1 Ir 0.000 0.000 0.000 1

---

# 7
# Ac6P2Rh3Se (PBE-GGA, relaxed)
# DFT total energy (eV/cell): -73.6
# Formation energy (no corrections) (eV per formula unit): -12.63
data_Ac6P2Rh3Se
_chemical_formula_sum 'Ac6 P2 Rh3 Se1'
_cell_length_a 4.360
_cell_length_b 8.916
_cell_length_c 9.905
_cell_angle_alpha 104.58
_cell_angle_beta 102.71
_cell_angle_gamma 90.00
_space_group_name_H-M_alt 'P 1'
_space_group_IT_number 1
_space_group_name_Hall 'P 1'
loop_
_atom_site_label
_atom_site_type_symbol
_atom_site_fract_x
_atom_site_fract_y
_atom_site_fract_z
_atom_site_occupancy
Ac1 Ac 0.998 0.265 0.996 1
Ac2 Ac 0.334 0.415 0.668 1
Ac3 Ac 0.002 0.735 0.004 1
Ac4 Ac 0.673 0.080 0.346 1
Ac5 Ac 0.327 0.920 0.654 1
Ac6 Ac 0.666 0.585 0.332 1
P1 P 0.835 0.672 0.670 1
P2 P 0.165 0.328 0.330 1
Se1 Se 0.500 0.000 0.000 1
Rh1 Rh 0.165 0.829 0.329 1
Rh2 Rh 0.835 0.171 0.671 1
Rh3 Rh 0.500 0.500 0.000 1

---

# 8
# MgNiSCl2 (PBE-GGA, relaxed)
# Energy above the most stable polymorph in this dataset (meV per atom): 0
# DFT total energy (eV/cell): -17.4
# Formation energy (no corrections) (eV per formula unit): -2.17
data_MgNiSCl2
_chemical_formula_sum 'Mg1 Ni1 S1 Cl2'
_cell_length_a 4.484
_cell_length_b 4.484
_cell_length_c 4.822
_cell_angle_alpha 90.00
_cell_angle_beta 90.00
_cell_angle_gamma 90.00
_space_group_name_H-M_alt 'P 1'
_space_group_IT_number 1
_space_group_name_Hall 'P 1'
loop_
_atom_site_label
_atom_site_type_symbol
_atom_site_fract_x
_atom_site_fract_y
_atom_site_fract_z
_atom_site_occupancy
Cl1 Cl 0.000 0.500 0.000 1
Cl2 Cl 0.500 0.000 0.000 1
Ni1 Ni 0.000 0.000 0.000 1
S1 S 0.000 0.000 0.500 1
Mg1 Mg 0.500 0.500 0.500 1

---

- DFT total energy of number 6 (Co2Cu2Ir)?
  -28.5 eV/cell

---

- Which of these has the lowest DFT total energy?
  Ac6P2Rh3Se